Density functional theory data (PBE-GGA) for a relaxed structure of Sr2TbNbN4.

- Volume: 120.5 Å³/f.u.
- Energy relative to the elements, uncorrected: -1.02 eV/atom

Cell: 6.877 7.085 9.895 Å, 90.00 90.00 90.00°
Space group Imma (No. 74)
Asymmetric unit:
Sr: 0.000 0.000 0.000 (multiplicity 4)
Sr: 0.250 0.250 0.250 (multiplicity 4)
Tb: 0.000 0.000 0.500 (multiplicity 4)
Nb: 0.250 0.250 0.750 (multiplicity 4)
N: 0.000 0.040 0.744 (multiplicity 8)
N: 0.234 0.250 0.532 (multiplicity 8)